VASP calculation (PBE+U) on a geometry-optimized Na6Cr2B4SO16 structure.

**DFT total energy**: -6.571 eV per atom
**Crystal system**: cubic

```
data_Na6Cr2B4SO16
_chemical_formula_sum 'Na12 Cr4 B8 S2 O32'
_symmetry_space_group_name_H-M 'P 1'
_symmetry_Int_Tables_number 1
_cell_length_a 9.879
_cell_length_b 9.879
_cell_length_c 9.879
_cell_angle_alpha 60.00
_cell_angle_beta 60.00
_cell_angle_gamma 60.00
loop_
_symmetry_equiv_pos_as_xyz
'x,y,z'
loop_
_atom_site_label
_atom_site_fract_x
_atom_site_fract_y
_atom_site_fract_z
_atom_site_occupancy
Na1 0.219 0.781 0.219 1
O1 0.764 0.259 0.533 1
S1 0.000 0.000 0.000 1
Na2 0.219 0.219 0.781 1
O2 0.814 0.062 0.062 1
B1 0.837 0.490 0.837 1
O3 0.188 0.436 0.188 1
Na3 0.031 0.469 0.031 1
O4 0.717 0.806 0.486 1
O5 0.259 0.444 0.533 1
O6 0.764 0.444 0.259 1
O7 0.486 0.717 0.806 1
B2 0.413 0.413 0.413 1
O8 0.444 0.764 0.533 1
Na4 0.031 0.469 0.469 1
O9 0.444 0.259 0.764 1
O10 0.188 0.188 0.436 1
O11 0.188 0.188 0.188 1
O12 0.717 0.486 0.991 1
O13 0.062 0.062 0.814 1
B3 0.490 0.837 0.837 1
Na5 0.469 0.469 0.031 1
Na6 0.781 0.219 0.781 1
Na7 0.031 0.031 0.469 1
O14 0.806 0.717 0.991 1
B4 0.413 0.413 0.760 1
Na8 0.219 0.781 0.781 1
O15 0.717 0.991 0.806 1
O16 0.444 0.533 0.259 1
O17 0.533 0.444 0.764 1
O18 0.259 0.764 0.444 1
O19 0.486 0.991 0.717 1
Na9 0.469 0.031 0.031 1
Na10 0.469 0.031 0.469 1
O20 0.991 0.717 0.486 1
Cr1 0.625 0.625 0.625 1
Cr2 0.625 0.625 0.125 1
O21 0.764 0.533 0.444 1
O22 0.062 0.814 0.062 1
S2 0.250 0.250 0.250 1
O23 0.533 0.764 0.259 1
O24 0.259 0.533 0.764 1
B5 0.760 0.413 0.413 1
B6 0.413 0.760 0.413 1
O25 0.062 0.062 0.062 1
O26 0.991 0.806 0.717 1
B7 0.837 0.837 0.837 1
Cr3 0.625 0.125 0.625 1
Na11 0.781 0.219 0.219 1
Cr4 0.125 0.625 0.625 1
Na12 0.781 0.781 0.219 1
O27 0.533 0.259 0.444 1
B8 0.837 0.837 0.490 1
O28 0.486 0.806 0.991 1
O29 0.991 0.486 0.806 1
O30 0.806 0.486 0.717 1
O31 0.436 0.188 0.188 1
O32 0.806 0.991 0.486 1
```